# 1
VASP calculation (PBE) on an optimized crystal structure of SrLa2.

Output
Formation energy in meV per atom: 823
ρ in g/cm3: 4.204
Electronic total energy in eV/atom: -3.02
Fermi-level density of states in states/eV/atom: 2.2851

Structure (CIF):
```
data_SrLa2
_space_group_name_H-M_alt 'F m -3 m'
_space_group_IT_number 225
_space_group_name_Hall '-F 4 2 3'
_cell_length_a 8.327
_cell_length_b 8.327
_cell_length_c 8.327
_cell_angle_alpha 90.00
_cell_angle_beta 90.00
_cell_angle_gamma 90.00
loop_
_atom_site_label
_atom_site_fract_x
_atom_site_fract_y
_atom_site_fract_z
Sr1 0.000 0.000 0.000
La1 0.250 0.250 0.250
```



# 2
VASP calculation (PBE) on an optimized crystal structure of Sr2La.

Output
Formation energy in meV per atom: 137
ρ in g/cm3: 3.710
Electronic total energy in eV/atom: -2.63
Fermi-level density of states in states/eV/atom: 1.3790

Structure (CIF):
```
data_Sr2La
_space_group_name_H-M_alt 'P n m a'
_space_group_IT_number 62
_space_group_name_Hall '-P 2ac 2n'
_cell_length_a 7.912
_cell_length_b 6.063
_cell_length_c 11.727
_cell_angle_alpha 90.00
_cell_angle_beta 90.00
_cell_angle_gamma 90.00
loop_
_atom_site_label
_atom_site_fract_x
_atom_site_fract_y
_atom_site_fract_z
Sr1 0.089 0.250 0.099
Sr2 0.201 0.250 0.766
La1 0.068 0.250 0.448
```



# 3
VASP calculation (PBE) on an optimized crystal structure of SrLa2.

Output
Formation energy in meV per atom: 132
ρ in g/cm3: 4.920
Electronic total energy in eV/atom: -3.71
Fermi-level density of states in states/eV/atom: 1.7675

Structure (CIF):
```
data_SrLa2
_space_group_name_H-M_alt 'I m m m'
_space_group_IT_number 71
_space_group_name_Hall '-I 2 2'
_cell_length_a 3.784
_cell_length_b 5.315
_cell_length_c 12.262
_cell_angle_alpha 90.00
_cell_angle_beta 90.00
_cell_angle_gamma 90.00
loop_
_atom_site_label
_atom_site_fract_x
_atom_site_fract_y
_atom_site_fract_z
Sr1 0.000 0.000 0.000
La1 0.000 0.000 0.313
```



Which of these has the lowest ρ? Sr2La



The highest electronic total energy belongs to which entry? Sr2La



What is the formula in the third record? SrLa2



Copy entry 2 word for word.
VASP calculation (PBE) on an optimized crystal structure of Sr2La.

Output
Formation energy in meV per atom: 137
ρ in g/cm3: 3.710
Electronic total energy in eV/atom: -2.63
Fermi-level density of states in states/eV/atom: 1.3790

Structure (CIF):
```
data_Sr2La
_space_group_name_H-M_alt 'P n m a'
_space_group_IT_number 62
_space_group_name_Hall '-P 2ac 2n'
_cell_length_a 7.912
_cell_length_b 6.063
_cell_length_c 11.727
_cell_angle_alpha 90.00
_cell_angle_beta 90.00
_cell_angle_gamma 90.00
loop_
_atom_site_label
_atom_site_fract_x
_atom_site_fract_y
_atom_site_fract_z
Sr1 0.089 0.250 0.099
Sr2 0.201 0.250 0.766
La1 0.068 0.250 0.448
```